# BeZn2Re

BeZn2Re after structural relaxation (PBE-GGA, Alexandria).

Lattice parameters (Å, degrees): 2.680 2.680 8.403 90.00 90.00 116.84
Element x y z (fractional)
Re 0.500 0.500 0.750
Zn 0.000 0.000 0.021
Zn 0.000 0.000 0.479
Be 0.500 0.500 0.250

Values from the calculation:
- Theoretical density: 10.05 g cm⁻³
- Space-group type: Cmmm (65)
- Formation energy from the elements: 0.2964 eV per atom
- D(E_F): 1.161 states/eV per cell